Record 1
This record from the Alexandria database describes an optimized crystal structure of SmHfB12. The functional is PBE-GGA.

Unit cell a=4.081 b=4.081 c=8.141 alpha=90.00 beta=90.00 gamma=90.00
Element x y z (fractional)
Sm1 0.000 0.000 0.000
Hf1 0.000 0.000 0.500
B1 0.198 0.500 0.254
B2 0.198 0.500 0.746
B3 0.500 0.198 0.254
B4 0.500 0.198 0.746
B5 0.500 0.500 0.101
B6 0.500 0.500 0.403
B7 0.500 0.500 0.597
B8 0.500 0.500 0.899
B9 0.500 0.802 0.254
B10 0.500 0.802 0.746
B11 0.802 0.500 0.254
B12 0.802 0.500 0.746

Results
E: -97.3 eV per formula unit
Symmetry: No. 123
Fermi-level density of states: 0.14 states/eV/atom
E_form: -0.18 eV/atom
Magnetic moment: 0.0 μB/f.u.


Record 2
This record from the Alexandria database describes an optimized crystal structure of BaSnRh. The functional is PBE-GGA.

Unit cell a=7.244 b=8.706 c=5.780 alpha=90.00 beta=96.77 gamma=90.00
Element x y z (fractional)
Ba1 0.200 0.069 0.284
Ba2 0.200 0.431 0.784
Ba3 0.800 0.569 0.216
Ba4 0.800 0.931 0.716
Sn1 0.317 0.655 0.287
Sn2 0.317 0.845 0.787
Sn3 0.683 0.155 0.213
Sn4 0.683 0.345 0.713
Rh1 0.439 0.138 0.835
Rh2 0.439 0.362 0.335
Rh3 0.561 0.638 0.665
Rh4 0.561 0.862 0.165

Results
E: -14.5 eV per formula unit
Symmetry: No. 14
Fermi-level density of states: 0.62 states/eV/atom
E_form: -0.42 eV/atom
Magnetic moment: 0.0 μB/f.u.


Record 3
This record from the Alexandria database describes an optimized crystal structure of Te12As5Pb3. The functional is PBE-GGA.

Unit cell a=15.342 b=15.342 c=15.342 alpha=109.47 beta=109.47 gamma=109.47
Element x y z (fractional)
Te1 0.035 0.210 0.123
Te2 0.035 0.325 0.912
Te3 0.087 0.710 0.675
Te4 0.087 0.877 0.412
Te5 0.088 0.623 0.413
Te6 0.088 0.965 0.675
Te7 0.123 0.035 0.210
Te8 0.123 0.588 0.913
Te9 0.175 0.210 0.587
Te10 0.175 0.465 0.588
Te11 0.210 0.123 0.035
Te12 0.210 0.587 0.175
Te13 0.290 0.325 0.913
Te14 0.290 0.465 0.377
Te15 0.325 0.912 0.035
Te16 0.325 0.913 0.290
Te17 0.377 0.290 0.465
Te18 0.377 0.587 0.912
Te19 0.412 0.087 0.877
Te20 0.412 0.825 0.535
Te21 0.413 0.088 0.623
Te22 0.413 0.825 0.790
Te23 0.465 0.377 0.290
Te24 0.465 0.588 0.175
Te25 0.535 0.412 0.825
Te26 0.535 0.623 0.710
Te27 0.587 0.175 0.210
Te28 0.587 0.912 0.377
Te29 0.588 0.175 0.465
Te30 0.588 0.913 0.123
Te31 0.623 0.413 0.088
Te32 0.623 0.710 0.535
Te33 0.675 0.087 0.710
Te34 0.675 0.088 0.965
Te35 0.710 0.535 0.623
Te36 0.710 0.675 0.087
Te37 0.790 0.413 0.825
Te38 0.790 0.877 0.965
Te39 0.825 0.535 0.412
Te40 0.825 0.790 0.413
Te41 0.877 0.412 0.087
Te42 0.877 0.965 0.790
Te43 0.912 0.035 0.325
Te44 0.912 0.377 0.587
Te45 0.913 0.123 0.588
Te46 0.913 0.290 0.325
Te47 0.965 0.675 0.088
Te48 0.965 0.790 0.877
As1 0.000 0.000 0.000
As2 0.000 0.000 0.500
As3 0.000 0.500 0.000
As4 0.000 0.500 0.500
As5 0.125 0.750 0.875
As6 0.125 0.875 0.250
As7 0.250 0.125 0.875
As8 0.250 0.625 0.375
As9 0.375 0.250 0.625
As10 0.375 0.625 0.750
As11 0.500 0.000 0.000
As12 0.500 0.000 0.500
As13 0.500 0.500 0.000
As14 0.500 0.500 0.500
As15 0.625 0.375 0.250
As16 0.625 0.750 0.375
As17 0.750 0.375 0.625
As18 0.750 0.875 0.125
As19 0.875 0.125 0.750
As20 0.875 0.250 0.125
Pb1 0.125 0.250 0.375
Pb2 0.125 0.375 0.750
Pb3 0.250 0.375 0.125
Pb4 0.250 0.875 0.625
Pb5 0.375 0.125 0.250
Pb6 0.375 0.750 0.125
Pb7 0.625 0.250 0.875
Pb8 0.625 0.875 0.750
Pb9 0.750 0.125 0.375
Pb10 0.750 0.625 0.875
Pb11 0.875 0.625 0.250
Pb12 0.875 0.750 0.625

Results
E: -71.7 eV per formula unit
Symmetry: No. 230
Fermi-level density of states: 0.37 states/eV/atom
Magnetic moment: 0.0 μB/f.u.
ΔE_f (raw): 0.02 eV per atom


Record 4
This record from the Alexandria database describes an optimized crystal structure of Pr6Nd3Ho2. The functional is PBE-GGA.

Unit cell a=33.022 b=33.022 c=33.022 alpha=6.38 beta=6.38 gamma=6.38
Element x y z (fractional)
Pr1 0.092 0.092 0.092
Pr2 0.182 0.182 0.182
Pr3 0.364 0.364 0.364
Pr4 0.636 0.636 0.636
Pr5 0.818 0.818 0.818
Pr6 0.908 0.908 0.908
Nd1 0.000 0.000 0.000
Nd2 0.272 0.272 0.272
Nd3 0.728 0.728 0.728
Ho1 0.455 0.455 0.455
Ho2 0.545 0.545 0.545

Results
E: -52.0 eV per formula unit
ΔE to the lowest computed polymorph: 0 meV/atom
Symmetry: No. 166
Fermi-level density of states: 1.35 states/eV/atom
E_form: 0.01 eV/atom
Magnetic moment: 0.0 μB/f.u.


Record 5
This record from the Alexandria database describes an optimized crystal structure of CeTmAg. The functional is PBE-GGA.

Unit cell a=7.020 b=7.020 c=7.020 alpha=151.30 beta=151.30 gamma=41.04
Element x y z (fractional)
Ce1 0.000 0.000 0.000
Tm1 0.304 0.304 0.000
Ag1 0.667 0.667 0.000

Results
E: -13.5 eV per formula unit
ΔE to the lowest computed polymorph: 41 meV/atom
Symmetry: No. 107
Fermi-level density of states: 1.85 states/eV/atom
E_form: -0.08 eV/atom
Magnetic moment: 1.3 μB/f.u.


Record 6
This record from the Alexandria database describes an optimized crystal structure of CaTa2Mo. The functional is PBE-GGA.

Unit cell a=6.191 b=6.191 c=6.191 alpha=103.01 beta=103.01 gamma=123.36
Element x y z (fractional)
Ca1 0.000 0.000 0.000
Ca2 0.750 0.250 0.500
Ta1 0.175 0.625 0.050
Ta2 0.375 0.425 0.550
Ta3 0.575 0.125 0.950
Ta4 0.875 0.825 0.450
Mo1 0.250 0.750 0.500
Mo2 0.500 0.500 0.000

Results
E: -32.5 eV per formula unit
Symmetry: No. 122
Fermi-level density of states: 0.83 states/eV/atom
E_form: 1.01 eV/atom
Magnetic moment: 0.0 μB/f.u.


Record 7
This record from the Alexandria database describes an optimized crystal structure of Tb3PdI3. The functional is PBE-GGA.

Unit cell a=8.989 b=4.186 c=12.300 alpha=90.00 beta=93.56 gamma=90.00
Element x y z (fractional)
Tb1 0.093 0.250 0.326
Tb2 0.142 0.250 0.861
Tb3 0.263 0.750 0.104
Tb4 0.737 0.250 0.896
Tb5 0.858 0.750 0.139
Tb6 0.907 0.750 0.674
Pd1 0.048 0.250 0.085
Pd2 0.952 0.750 0.915
I1 0.152 0.250 0.601
I2 0.353 0.750 0.359
I3 0.426 0.750 0.867
I4 0.574 0.250 0.133
I5 0.647 0.250 0.641
I6 0.848 0.750 0.399

Results
E: -31.0 eV per formula unit
Symmetry: No. 11
Fermi-level density of states: 0.72 states/eV/atom
Magnetic moment: 0.0 μB/f.u.
ΔE_f (raw): -1.04 eV per atom


Record 8
This record from the Alexandria database describes an optimized crystal structure of CaTl2B2O6. The functional is PBE-GGA.

Unit cell a=5.199 b=5.199 c=7.421 alpha=90.00 beta=90.00 gamma=120.00
Element x y z (fractional)
Ca1 0.000 0.000 0.000
Tl1 0.333 0.667 0.342
Tl2 0.667 0.333 0.658
B1 0.333 0.667 0.800
B2 0.667 0.333 0.200
O1 0.081 0.692 0.801
O2 0.308 0.389 0.801
O3 0.389 0.081 0.199
O4 0.611 0.919 0.801
O5 0.692 0.611 0.199
O6 0.919 0.308 0.199

Results
E: -70.4 eV per formula unit
Symmetry: No. 147
Fermi-level density of states: 0.10 states/eV/atom
Magnetic moment: 0.0 μB/f.u.
ΔE_f (raw): -1.87 eV per atom


Which formula does entry 1 have?
SmHfB12